Here is LiPrPb after structural relaxation from Alexandria. Energies are from PBE.

Output
As for the space-group type: No. 194. The density of states at the Fermi level comes out at 1.94 states/eV per cell. For the energy, the calculation gives -4.004 eV/atom.

Cell: 4.855 4.855 7.825 Å, 90.00 90.00 119.99°
Sites, in units of the cell vectors:
Pr  0.000  0.500  0.500
Pr  0.000  0.500  0.000
Li  0.333  0.167  0.750
Li  0.667  0.833  0.250
Pb  0.333  0.167  0.250
Pb  0.667  0.833  0.750



Here is Li4PrPb4 after structural relaxation from Alexandria. Energies are from PBE.

Output
As for the space-group type: No. 137. The density of states at the Fermi level comes out at 5.98 states/eV per cell. For the energy, the calculation gives -3.295 eV/atom.

Cell: 6.766 6.766 9.662 Å, 90.00 90.00 90.00°
Sites, in units of the cell vectors:
Li  0.278  0.000  0.582
Li  0.500  0.778  0.082
Li  0.000  0.278  0.418
Li  0.722  0.000  0.582
Li  0.778  0.500  0.918
Li  0.222  0.500  0.918
Li  0.000  0.722  0.418
Li  0.500  0.222  0.082
Pb  0.000  0.274  0.710
Pb  0.000  0.726  0.710
Pb  0.274  0.000  0.290
Pb  0.500  0.226  0.790
Pb  0.226  0.500  0.210
Pb  0.726  0.000  0.290
Pb  0.774  0.500  0.210
Pb  0.500  0.774  0.790
Pr  0.000  0.000  0.000
Pr  0.500  0.500  0.500



Here is LiPr2Pb2 after structural relaxation from Alexandria. Energies are from PBE.

Output
As for the excess energy over the best structure of this formula in the dataset: 60.6 meV per atom. As for the space-group type: No. 72. The density of states at the Fermi level comes out at 6.45 states/eV per cell. For the energy, the calculation gives -4.228 eV/atom.

Cell: 6.618 6.789 8.206 Å, 114.43 113.78 90.00°
Sites, in units of the cell vectors:
Pb  0.118  0.851  0.236
Pb  0.882  0.149  0.764
Pb  0.382  0.615  0.764
Pb  0.618  0.385  0.236
Pr  0.637  0.923  0.274
Pr  0.363  0.077  0.726
Pr  0.863  0.649  0.726
Pr  0.137  0.351  0.274
Li  0.750  0.500  0.000
Li  0.250  0.500  0.000



The following energy relative to the elements values (in meV/atom) correspond, in order, to the records above: -537.0, -265.7, -450.0.